! YTcNO (PBE, optimized geometry); values from VASP
! mass density	6.72	g cm⁻³
! excess energy over the best structure of this formula in the dataset	163.4	kJ/mol of formula units
&SYSTEM
  ibrav = 0, nat = 8, ntyp = 4
/
ATOMIC_SPECIES
N 14.01 N.upf
O 16.00 O.upf
Tc 98.00 Tc.upf
Y 88.91 Y.upf
CELL_PARAMETERS angstrom
-0.2921 3.2514 -0.4138
-4.1043 0.1348 3.9556
3.9323 0.8688 4.0505
ATOMIC_POSITIONS angstrom
N -1.3521 0.2512 2.9279
N 0.8438 0.6780 4.7317
O 0.0886 1.7432 0.5505
O -1.5322 2.2954 6.0328
Tc -1.1448 0.5052 4.7774
Tc 2.6921 0.8782 4.9996
Y 0.4770 2.0490 2.6794
Y 0.5904 2.5443 6.4903

=====

! YTcNO (PBE, optimized geometry); values from VASP
! mass density	7.14	g cm⁻³
! excess energy over the best structure of this formula in the dataset	224.8	kJ/mol of formula units
&SYSTEM
  ibrav = 0, nat = 8, ntyp = 4
/
ATOMIC_SPECIES
N 14.01 N.upf
O 16.00 O.upf
Tc 98.00 Tc.upf
Y 88.91 Y.upf
CELL_PARAMETERS angstrom
4.7888 0.0000 0.0000
0.0000 4.7888 0.0000
0.0000 0.0000 4.3993
ATOMIC_POSITIONS angstrom
N 3.5916 3.5916 2.1994
N 1.1972 1.1972 2.2000
O 3.5916 1.1972 0.0000
O 1.1972 3.5916 0.0000
Tc 1.1972 1.1972 0.0000
Tc 3.5916 3.5916 0.0000
Y 3.5916 1.1972 2.1997
Y 1.1972 3.5916 2.1997

=====

! YTcNO (PBE, optimized geometry); values from VASP
! mass density	7.14	g cm⁻³
! excess energy over the best structure of this formula in the dataset	224.8	kJ/mol of formula units
&SYSTEM
  ibrav = 0, nat = 8, ntyp = 4
/
ATOMIC_SPECIES
N 14.01 N.upf
O 16.00 O.upf
Tc 98.00 Tc.upf
Y 88.91 Y.upf
CELL_PARAMETERS angstrom
4.7760 0.0000 0.0000
0.0000 4.7760 0.0000
0.0000 0.0000 4.4220
ATOMIC_POSITIONS angstrom
N 0.0000 2.3880 2.2030
N 2.3880 0.0000 2.2190
O 0.0000 0.0000 0.0000
O 2.3880 2.3880 0.0000
Tc 2.3880 0.0000 0.0062
Tc 0.0000 2.3880 4.4158
Y 0.0000 0.0000 2.2110
Y 2.3880 2.3880 2.2110

=====

Which value of mass density does entry 2 give? 7.14 g cm⁻³